Entry 1:
! AcErAs (GGA-PBE, optimized geometry); values from VASP
! **Total DFT energy (no corrections)**: -15.1 eV per cell
! **Energy above the most stable polymorph in this dataset**: 0 meV per atom
! **Crystal system**: cubic
&SYSTEM
  ibrav = 0, nat = 3, ntyp = 3
/
ATOMIC_SPECIES
Ac 227.00 Ac.upf
Er 167.26 Er.upf
As 74.92 As.upf
ATOMIC_POSITIONS crystal
Ac 0.0000 0.0000 0.0000
Er 0.5000 0.5000 0.5000
As 0.2500 0.2500 0.2500
CELL_PARAMETERS angstrom
0.0000 3.5911 3.5911
3.5911 0.0000 3.5911
3.5911 3.5911 0.0000



Entry 2:
! HfSnCBr2 (GGA-PBE, optimized geometry); values from VASP
! **Total DFT energy (no corrections)**: -28.7 eV per cell
! **Crystal system**: trigonal
&SYSTEM
  ibrav = 0, nat = 5, ntyp = 4
/
ATOMIC_SPECIES
Hf 178.49 Hf.upf
Sn 118.71 Sn.upf
C 12.01 C.upf
Br 79.90 Br.upf
ATOMIC_POSITIONS crystal
Hf 0.0000 0.0000 0.0000
Sn 0.6667 0.3333 0.2723
C 0.3333 0.6667 0.0847
Br 0.0000 0.0000 0.4791
Br 0.6667 0.3333 0.8134
CELL_PARAMETERS angstrom
3.5843 0.0000 0.0000
-1.7922 3.1041 0.0000
0.0000 0.0000 10.3226



Entry 3:
! NaInBiIr (GGA-PBE, optimized geometry); values from VASP
! **Total DFT energy (no corrections)**: -16.8 eV per cell
! **Energy above the most stable polymorph in this dataset**: 0 meV per atom
! **Crystal system**: cubic
&SYSTEM
  ibrav = 0, nat = 4, ntyp = 4
/
ATOMIC_SPECIES
Na 22.99 Na.upf
In 114.82 In.upf
Bi 208.98 Bi.upf
Ir 192.22 Ir.upf
ATOMIC_POSITIONS crystal
Na 0.0000 0.0000 0.0000
In 0.7500 0.7500 0.7500
Bi 0.2500 0.2500 0.2500
Ir 0.5000 0.5000 0.5000
CELL_PARAMETERS angstrom
0.0000 3.4490 3.4490
3.4490 0.0000 3.4490
3.4490 3.4490 0.0000



Entry 4:
! Er8Fe (GGA-PBE, optimized geometry); values from VASP
! **Formation energy from the elements**: 0.040 eV per atom
! **Total DFT energy (no corrections)**: -44.5 eV per cell
! **Crystal system**: hexagonal
&SYSTEM
  ibrav = 0, nat = 9, ntyp = 2
/
ATOMIC_SPECIES
Er 167.26 Er.upf
Fe 55.84 Fe.upf
ATOMIC_POSITIONS crystal
Er 0.0000 0.2370 0.0000
Er 0.0000 0.6233 0.5000
Er 0.2370 0.0000 0.0000
Er 0.3333 0.6667 0.0000
Er 0.3767 0.3767 0.5000
Er 0.6233 0.0000 0.5000
Er 0.6667 0.3333 0.0000
Er 0.7630 0.7630 0.0000
Fe 0.0000 0.0000 0.5000
CELL_PARAMETERS angstrom
8.9337 0.0000 0.0000
-4.4669 7.7368 0.0000
0.0000 0.0000 3.6051



Entry 5:
! TlCuPd (GGA-PBE, optimized geometry); values from VASP
! **Total DFT energy (no corrections)**: -10.4 eV per cell
! **Crystal system**: cubic
&SYSTEM
  ibrav = 0, nat = 3, ntyp = 3
/
ATOMIC_SPECIES
Tl 204.38 Tl.upf
Cu 63.55 Cu.upf
Pd 106.42 Pd.upf
ATOMIC_POSITIONS crystal
Tl 0.0000 0.0000 0.0000
Cu 0.7500 0.7500 0.7500
Pd 0.2500 0.2500 0.2500
CELL_PARAMETERS angstrom
0.0000 3.1181 3.1181
3.1181 0.0000 3.1181
3.1181 3.1181 0.0000



Entry 6:
! Lu2SiNi2 (GGA-PBE, optimized geometry); values from VASP
! **Total DFT energy (no corrections)**: -52.8 eV per cell
! **Crystal system**: hexagonal
&SYSTEM
  ibrav = 0, nat = 10, ntyp = 3
/
ATOMIC_SPECIES
Lu 174.97 Lu.upf
Si 28.09 Si.upf
Ni 58.69 Ni.upf
ATOMIC_POSITIONS crystal
Lu 0.0000 0.0000 0.0000
Lu 0.0000 0.0000 0.5000
Lu 0.3333 0.6667 0.2500
Lu 0.6667 0.3333 0.7500
Si 0.0000 0.0000 0.2500
Si 0.0000 0.0000 0.7500
Ni 0.3333 0.6667 0.6404
Ni 0.3333 0.6667 0.8596
Ni 0.6667 0.3333 0.1404
Ni 0.6667 0.3333 0.3596
CELL_PARAMETERS angstrom
4.3685 0.0000 0.0000
-2.1843 3.7833 0.0000
0.0000 0.0000 10.9845



Entry 7:
! CdBNO (GGA-PBE, optimized geometry); values from VASP
! **Total DFT energy (no corrections)**: -48.0 eV per cell
! **Energy above the most stable polymorph in this dataset**: 66 meV per atom
! **Crystal system**: orthorhombic
&SYSTEM
  ibrav = 0, nat = 8, ntyp = 4
/
ATOMIC_SPECIES
Cd 112.41 Cd.upf
B 10.81 B.upf
N 14.01 N.upf
O 16.00 O.upf
ATOMIC_POSITIONS crystal
Cd 0.0000 0.1511 0.0000
Cd 0.0000 0.8489 0.5000
B 0.5000 0.3632 0.5073
B 0.5000 0.6368 0.0073
N 0.0000 0.2320 0.4617
N 0.0000 0.7680 0.9617
O 0.5000 0.4288 0.8289
O 0.5000 0.5712 0.3289
CELL_PARAMETERS angstrom
2.7509 0.0000 0.0000
0.0000 5.9466 0.0000
0.0000 0.0000 4.7260



Entry 8:
! YLuNO (GGA-PBE, optimized geometry); values from VASP
! **Total DFT energy (no corrections)**: -133.2 eV per cell
! **Energy above the most stable polymorph in this dataset**: 61 meV per atom
! **Crystal system**: orthorhombic
&SYSTEM
  ibrav = 0, nat = 16, ntyp = 4
/
ATOMIC_SPECIES
Y 88.91 Y.upf
Lu 174.97 Lu.upf
N 14.01 N.upf
O 16.00 O.upf
ATOMIC_POSITIONS crystal
Y 0.1243 0.0700 0.2500
Y 0.1243 0.4300 0.7500
Y 0.8757 0.5700 0.2500
Y 0.8757 0.9300 0.7500
Lu 0.3758 0.5877 0.2500
Lu 0.3758 0.9123 0.7500
Lu 0.6242 0.0877 0.2500
Lu 0.6242 0.4123 0.7500
N 0.3815 0.5763 0.7500
N 0.3815 0.9237 0.2500
N 0.6185 0.0763 0.7500
N 0.6185 0.4237 0.2500
O 0.1425 0.0909 0.7500
O 0.1425 0.4091 0.2500
O 0.8575 0.5909 0.7500
O 0.8575 0.9091 0.2500
CELL_PARAMETERS angstrom
7.9562 0.0000 0.0000
0.0000 6.6869 0.0000
0.0000 0.0000 4.7865



Entry 9:
! MgZnSO (GGA-PBE, optimized geometry); values from VASP
! **Total DFT energy (no corrections)**: -36.0 eV per cell
! **Energy above the most stable polymorph in this dataset**: 81 meV per atom
! **Crystal system**: hexagonal
&SYSTEM
  ibrav = 0, nat = 8, ntyp = 4
/
ATOMIC_SPECIES
Mg 24.30 Mg.upf
Zn 65.41 Zn.upf
S 32.06 S.upf
O 16.00 O.upf
ATOMIC_POSITIONS crystal
Mg 0.3333 0.6667 0.0000
Mg 0.6667 0.3333 0.5000
Zn 0.0000 0.0000 0.2251
Zn 0.0000 0.0000 0.7251
S 0.3333 0.6667 0.3252
S 0.6667 0.3333 0.8252
O 0.0000 0.0000 0.0535
O 0.0000 0.0000 0.5535
CELL_PARAMETERS angstrom
3.4807 0.0000 0.0000
-1.7403 3.0144 0.0000
0.0000 0.0000 11.2878



Entry 10:
! CsAg3GeTe4 (GGA-PBE, optimized geometry); values from VASP
! **Total DFT energy (no corrections)**: -58.3 eV per cell
! **Energy above the most stable polymorph in this dataset**: 0 meV per atom
! **Crystal system**: monoclinic
&SYSTEM
  ibrav = 0, nat = 18, ntyp = 4
/
ATOMIC_SPECIES
Cs 132.91 Cs.upf
Ag 107.87 Ag.upf
Ge 72.64 Ge.upf
Te 127.60 Te.upf
ATOMIC_POSITIONS crystal
Cs 0.2121 0.2500 0.3787
Cs 0.7879 0.7500 0.6213
Ag 0.3063 0.5546 0.0253
Ag 0.3063 0.9454 0.0253
Ag 0.3906 0.7500 0.2449
Ag 0.6094 0.2500 0.7551
Ag 0.6937 0.0546 0.9747
Ag 0.6937 0.4454 0.9747
Ge 0.1252 0.2500 0.7756
Ge 0.8748 0.7500 0.2244
Te 0.0442 0.2500 0.9920
Te 0.1765 0.7500 0.4185
Te 0.3448 0.5127 0.7786
Te 0.3448 0.9873 0.7786
Te 0.6552 0.0127 0.2214
Te 0.6552 0.4873 0.2214
Te 0.8235 0.2500 0.5815
Te 0.9558 0.7500 0.0080
CELL_PARAMETERS angstrom
6.7843 0.0000 0.0000
0.0000 8.4296 0.0000
-3.0464 0.0000 11.0042



Entry 11:
! Li4TlSiNi2 (GGA-PBE, optimized geometry); values from VASP
! **Total DFT energy (no corrections)**: -28.5 eV per cell
! **Crystal system**: tetragonal
&SYSTEM
  ibrav = 0, nat = 8, ntyp = 4
/
ATOMIC_SPECIES
Li 6.94 Li.upf
Tl 204.38 Tl.upf
Si 28.09 Si.upf
Ni 58.69 Ni.upf
ATOMIC_POSITIONS crystal
Li 0.0000 0.0000 0.0000
Li 0.0000 0.5000 0.2281
Li 0.5000 0.0000 0.7719
Li 0.5000 0.5000 0.5000
Tl 0.0000 0.0000 0.5000
Si 0.5000 0.5000 0.0000
Ni 0.0000 0.5000 0.7953
Ni 0.5000 0.0000 0.2047
CELL_PARAMETERS angstrom
4.1366 0.0000 0.0000
0.0000 4.1366 0.0000
0.0000 0.0000 6.1661



Entry 12:
! MgAlCoAu (GGA-PBE, optimized geometry); values from VASP
! **Total DFT energy (no corrections)**: -16.9 eV per cell
! **Energy above the most stable polymorph in this dataset**: 0 meV per atom
! **Crystal system**: cubic
&SYSTEM
  ibrav = 0, nat = 4, ntyp = 4
/
ATOMIC_SPECIES
Mg 24.30 Mg.upf
Al 26.98 Al.upf
Co 58.93 Co.upf
Au 196.97 Au.upf
ATOMIC_POSITIONS crystal
Mg 0.0000 0.0000 0.0000
Al 0.5000 0.5000 0.5000
Co 0.7500 0.7500 0.7500
Au 0.2500 0.2500 0.2500
CELL_PARAMETERS angstrom
0.0000 3.0939 3.0939
3.0939 0.0000 3.0939
3.0939 3.0939 0.0000



Entry 13:
! DyInFe (GGA-PBE, optimized geometry); values from VASP
! **Total DFT energy (no corrections)**: -13.3 eV per cell
! **Crystal system**: cubic
&SYSTEM
  ibrav = 0, nat = 3, ntyp = 3
/
ATOMIC_SPECIES
Dy 162.50 Dy.upf
In 114.82 In.upf
Fe 55.84 Fe.upf
ATOMIC_POSITIONS crystal
Dy 0.0000 0.0000 0.0000
In 0.2500 0.2500 0.2500
Fe 0.7500 0.7500 0.7500
CELL_PARAMETERS angstrom
0.0000 3.3044 3.3044
3.3044 0.0000 3.3044
3.3044 3.3044 0.0000



Entry 14:
! Al2CoIr (GGA-PBE, optimized geometry); values from VASP
! **Total DFT energy (no corrections)**: -26.6 eV per cell
! **Energy above the most stable polymorph in this dataset**: 0 meV per atom
! **Crystal system**: cubic
&SYSTEM
  ibrav = 0, nat = 4, ntyp = 3
/
ATOMIC_SPECIES
Al 26.98 Al.upf
Co 58.93 Co.upf
Ir 192.22 Ir.upf
ATOMIC_POSITIONS crystal
Al 0.2500 0.2500 0.2500
Al 0.7500 0.7500 0.7500
Co 0.0000 0.0000 0.0000
Ir 0.5000 0.5000 0.5000
CELL_PARAMETERS angstrom
0.0000 2.9446 2.9446
2.9446 0.0000 2.9446
2.9446 2.9446 0.0000



Entry 15:
! BeFeNiB (GGA-PBE, optimized geometry); values from VASP
! **Total DFT energy (no corrections)**: -23.7 eV per cell
! **Energy above the most stable polymorph in this dataset**: 387 meV per atom
! **Crystal system**: cubic
&SYSTEM
  ibrav = 0, nat = 4, ntyp = 4
/
ATOMIC_SPECIES
Be 9.01 Be.upf
Fe 55.84 Fe.upf
Ni 58.69 Ni.upf
B 10.81 B.upf
ATOMIC_POSITIONS crystal
Be 0.0000 0.0000 0.0000
Fe 0.5000 0.5000 0.5000
Ni 0.7500 0.7500 0.7500
B 0.2500 0.2500 0.2500
CELL_PARAMETERS angstrom
0.0000 2.6072 2.6072
2.6072 0.0000 2.6072
2.6072 2.6072 0.0000



Entry 16:
! DyZr (GGA-PBE, optimized geometry); values from VASP
! **Formation energy from the elements**: 0.062 eV per atom
! **Total DFT energy (no corrections)**: -78.2 eV per cell
! **Crystal system**: monoclinic
&SYSTEM
  ibrav = 0, nat = 12, ntyp = 2
/
ATOMIC_SPECIES
Dy 162.50 Dy.upf
Zr 91.22 Zr.upf
ATOMIC_POSITIONS crystal
Dy 0.1425 0.2500 0.0603
Dy 0.1988 0.7500 0.2867
Dy 0.3574 0.7500 0.9214
Dy 0.6426 0.2500 0.0786
Dy 0.8012 0.2500 0.7133
Dy 0.8575 0.7500 0.9397
Zr 0.0322 0.7500 0.6035
Zr 0.2966 0.2500 0.6960
Zr 0.4814 0.2500 0.3988
Zr 0.5186 0.7500 0.6012
Zr 0.7034 0.7500 0.3040
Zr 0.9678 0.2500 0.3965
CELL_PARAMETERS angstrom
6.7608 0.0000 0.0000
0.0000 5.3736 0.0000
-1.6208 0.0000 8.9068



Entry 17:
! Li4Al3Cd (GGA-PBE, optimized geometry); values from VASP
! **Total DFT energy (no corrections)**: -21.5 eV per cell
! **Crystal system**: tetragonal
&SYSTEM
  ibrav = 0, nat = 8, ntyp = 3
/
ATOMIC_SPECIES
Li 6.94 Li.upf
Al 26.98 Al.upf
Cd 112.41 Cd.upf
ATOMIC_POSITIONS crystal
Li 0.0000 0.0000 0.0000
Li 0.0000 0.5000 0.7486
Li 0.5000 0.0000 0.2514
Li 0.5000 0.5000 0.5000
Al 0.0000 0.0000 0.5000
Al 0.0000 0.5000 0.2559
Al 0.5000 0.0000 0.7441
Cd 0.5000 0.5000 0.0000
CELL_PARAMETERS angstrom
4.4760 0.0000 0.0000
0.0000 4.4760 0.0000
0.0000 0.0000 6.3405



Entry 18:
! SrTc2 (GGA-PBE, optimized geometry); values from VASP
! **Total DFT energy (no corrections)**: -41.5 eV per cell
! **Crystal system**: cubic
&SYSTEM
  ibrav = 0, nat = 6, ntyp = 2
/
ATOMIC_SPECIES
Sr 87.62 Sr.upf
Tc 98.00 Tc.upf
ATOMIC_POSITIONS crystal
Sr 0.1250 0.1250 0.1250
Sr 0.8750 0.8750 0.8750
Tc 0.0000 0.5000 0.5000
Tc 0.5000 0.0000 0.5000
Tc 0.5000 0.5000 0.0000
Tc 0.5000 0.5000 0.5000
CELL_PARAMETERS angstrom
0.0000 3.9081 3.9081
3.9081 0.0000 3.9081
3.9081 3.9081 0.0000



Entry 19:
! Sm2DyNi4Sn4 (GGA-PBE, optimized geometry); values from VASP
! **Total DFT energy (no corrections)**: -58.4 eV per cell
! **Crystal system**: orthorhombic
&SYSTEM
  ibrav = 0, nat = 11, ntyp = 4
/
ATOMIC_SPECIES
Sm 150.36 Sm.upf
Dy 162.50 Dy.upf
Ni 58.69 Ni.upf
Sn 118.71 Sn.upf
ATOMIC_POSITIONS crystal
Sm 0.1320 0.1320 0.0000
Sm 0.8680 0.8680 0.0000
Dy 0.5000 0.0000 0.5000
Ni 0.1352 0.3238 0.8114
Ni 0.4876 0.6762 0.8114
Ni 0.5124 0.3238 0.1886
Ni 0.8648 0.6762 0.1886
Sn 0.2064 0.5000 0.7064
Sn 0.2845 0.7845 0.5000
Sn 0.7155 0.2155 0.5000
Sn 0.7936 0.5000 0.2936
CELL_PARAMETERS angstrom
-2.2315 3.4862 7.2361
2.2315 -3.4862 7.2361
2.2315 3.4862 -7.2361



Entry 20:
! KAg2AsS3O (GGA-PBE, optimized geometry); values from VASP
! **Total DFT energy (no corrections)**: -32.9 eV per cell
! **Crystal system**: monoclinic
&SYSTEM
  ibrav = 0, nat = 8, ntyp = 5
/
ATOMIC_SPECIES
K 39.10 K.upf
Ag 107.87 Ag.upf
As 74.92 As.upf
S 32.06 S.upf
O 16.00 O.upf
ATOMIC_POSITIONS crystal
K 0.0000 0.0000 0.0000
Ag 0.2111 0.6995 0.4478
Ag 0.6995 0.2111 0.4478
As 0.4393 0.4393 0.9006
S 0.1066 0.4951 0.9278
S 0.4951 0.1066 0.9278
S 0.7712 0.7712 0.2939
O 0.3929 0.3929 0.5745
CELL_PARAMETERS angstrom
4.2296 -4.6658 0.0000
4.2296 4.6658 0.0000
-3.8993 0.0000 4.5526